{"formula": "TaMnO2", "functional": "GGA+U", "state": "optimized geometry", "energy_ev_per_cell": -32.5, "relative_energy_mev_per_atom": 779, "m_tot_mub_per_fu": 3.976, "sg": "No. 225", "lattice_angstrom": [[0.000, 2.753, 2.753], [2.753, 0.000, 2.753], [2.753, 2.753, 0.000]], "species": ["Ta", "Mn", "O", "O"], "frac_coords": [[0.000, 0.000, 0.000], [0.500, 0.500, 0.500], [0.250, 0.250, 0.250], [0.750, 0.750, 0.750]]}